[1]
LiTl2VSe4: relaxed, PBE.

Structure (POSCAR):
```
LiTl2VSe4
1.0
0.0000 6.5779 12.0481
2.9888 0.0000 12.0481
2.9888 6.5779 0.0000
Li Tl V Se
2 4 2 8
Cartesian
0.7472 1.6445 3.0120
5.2303 11.5112 21.0842
2.2416 4.9334 1.5909
3.7359 8.2223 7.6150
2.2416 4.9334 16.4813
3.7359 8.2223 22.5053
2.2416 4.9334 9.0361
3.7359 8.2223 15.0602
2.4210 2.9944 4.3320
3.5565 6.2833 10.3560
2.0622 6.8724 4.3320
2.0622 2.9944 13.7402
3.9153 10.1613 10.3560
3.9153 6.2833 19.7643
2.4210 6.8724 13.7402
3.5565 10.1613 19.7643
```

Results
As for the uncorrected formation energy: -0.645 eV per atom.

---

[2]
Na4Hg12Pb: relaxed, PBE.

Structure (POSCAR):
```
Na4Hg12Pb
1.0
-4.9097 4.9097 4.9097
4.9097 -4.9097 4.9097
4.9097 4.9097 -4.9097
Na Hg Pb
4 12 1
Cartesian
2.4548 2.4548 -2.4548
2.4548 -2.4548 2.4548
-2.4548 2.4548 2.4548
2.4548 2.4548 2.4548
3.0205 0.0000 0.0000
6.7988 0.0000 0.0000
4.9097 2.4548 0.0000
4.9097 0.0000 2.4548
0.0000 3.0205 0.0000
0.0000 0.0000 3.0205
2.4548 4.9097 0.0000
2.4548 0.0000 4.9097
0.0000 6.7988 0.0000
0.0000 0.0000 6.7988
0.0000 4.9097 2.4548
0.0000 2.4548 4.9097
0.0000 0.0000 0.0000
```

Results
The value obtained for the formation energy from the elements is -0.123 eV/atom.

---

[3]
TaO2F: relaxed, PBE.

Structure (POSCAR):
```
TaO2F
1.0
-3.0083 3.0083 4.3246
3.0083 -3.0083 4.3246
3.0083 3.0083 -4.3246
Ta O F
2 4 2
Cartesian
0.0000 0.0000 0.0000
0.0000 3.0083 2.1623
0.0128 1.5041 1.0812
-1.5041 2.9955 3.2435
-0.0128 4.5124 1.0812
1.5041 3.0210 3.2435
3.0083 0.0000 2.1623
0.0000 0.0000 4.3246
```

Results
As for the uncorrected formation energy: -2.234 eV per atom.

---

[4]
Mn2ReNiS: relaxed, PBE.

Structure (POSCAR):
```
Mn2ReNiS
1.0
4.8852 0.0000 0.0000
0.0000 4.8852 0.0000
0.0000 0.0000 4.3210
Mn Re Ni S
2 1 1 1
Cartesian
0.0000 2.4426 0.0000
2.4426 0.0000 0.0000
0.0000 0.0000 0.0000
2.4426 2.4426 2.1605
0.0000 0.0000 2.1605
```

Results
As for the uncorrected formation energy: 1.177 eV per atom.